First-principles (GGA-PBE) data for a relaxed structure of MnCdSn2, as listed in Alexandria via LeMat-Bulk.

```
MnCdSn2
1.0
3.190 0.000 0.000
0.000 3.190 0.000
0.000 0.000 8.952
Mn Cd Sn
1 1 2
Direct
0.000 0.000 0.000
0.000 0.000 0.500
0.500 0.500 0.208
0.500 0.500 0.792
```

Calculated values
E_form: 3.75 kcal/mol of atoms
Space-group type: No. 123
Total magnetization: 3.4 Bohr magnetons per cell